Entry 1:
VASP calculation (PBE-GGA) on a relaxed LaTi2Cl crystal.

uncorrected formation energy: -61 meV per atom
E above lowest polymorph: 0 meV per atom

Structure (CIF):
```
data_LaTi2Cl
_chemical_formula_sum 'La4 Ti8 Cl4'
_cell_length_a 7.886
_cell_length_b 7.886
_cell_length_c 5.609
_cell_angle_alpha 90.00
_cell_angle_beta 90.00
_cell_angle_gamma 90.00
_space_group_name_H-M_alt 'I -4 2 d'
_space_group_IT_number 122
_space_group_name_Hall 'I -4 2bw'
loop_
_atom_site_label
_atom_site_type_symbol
_atom_site_fract_x
_atom_site_fract_y
_atom_site_fract_z
La1 La 0.000 0.000 0.000
Ti1 Ti 0.156 0.250 0.625
Cl1 Cl 0.000 0.000 0.500
```

***

Entry 2:
VASP calculation (PBE-GGA) on a relaxed La2TiCl crystal.

uncorrected formation energy: -48 meV per atom
E above lowest polymorph: 0 meV per atom

Structure (CIF):
```
data_La2TiCl
_chemical_formula_sum 'La8 Ti4 Cl4'
_cell_length_a 7.643
_cell_length_b 7.643
_cell_length_c 7.643
_cell_angle_alpha 90.00
_cell_angle_beta 90.00
_cell_angle_gamma 90.00
_space_group_name_H-M_alt 'F m -3 m'
_space_group_IT_number 225
_space_group_name_Hall '-F 4 2 3'
loop_
_atom_site_label
_atom_site_type_symbol
_atom_site_fract_x
_atom_site_fract_y
_atom_site_fract_z
La1 La 0.250 0.250 0.250
Ti1 Ti 0.000 0.000 0.000
Cl1 Cl 0.000 0.000 0.500
```

***

Entry 3:
VASP calculation (PBE-GGA) on a relaxed LaTiTlCl2 crystal.

uncorrected formation energy: -389 meV per atom

Structure (CIF):
```
data_LaTiTlCl2
_chemical_formula_sum 'La1 Ti1 Tl1 Cl2'
_cell_length_a 5.432
_cell_length_b 5.432
_cell_length_c 6.495
_cell_angle_alpha 90.00
_cell_angle_beta 90.00
_cell_angle_gamma 90.00
_space_group_name_H-M_alt 'P 4/m m m'
_space_group_IT_number 123
_space_group_name_Hall '-P 4 2'
loop_
_atom_site_label
_atom_site_type_symbol
_atom_site_fract_x
_atom_site_fract_y
_atom_site_fract_z
La1 La 0.000 0.000 0.000
Ti1 Ti 0.000 0.000 0.500
Tl1 Tl 0.500 0.500 0.500
Cl1 Cl 0.000 0.500 0.000
```

***

Entry 4:
VASP calculation (PBE-GGA) on a relaxed La4TlCl5 crystal.

uncorrected formation energy: -1632 meV per atom
E above lowest polymorph: 0 meV per atom

Structure (CIF):
```
data_La4TlCl5
_chemical_formula_sum 'La8 Tl2 Cl10'
_cell_length_a 18.450
_cell_length_b 4.076
_cell_length_c 9.202
_cell_angle_alpha 90.00
_cell_angle_beta 101.77
_cell_angle_gamma 90.00
_space_group_name_H-M_alt 'C 1 2/m 1'
_space_group_IT_number 12
loop_
_space_group_symop_operation_xyz
'x,y,z'
'-x,-y,-z'
'-x,y,-z'
'x,-y,z'
'x+1/2,y+1/2,z'
'-x+1/2,-y+1/2,-z'
'-x+1/2,y+1/2,-z'
'x+1/2,-y+1/2,z'
loop_
_atom_site_label
_atom_site_type_symbol
_atom_site_fract_x
_atom_site_fract_y
_atom_site_fract_z
La1 La 0.005 0.000 0.261
La2 La 0.175 0.500 0.068
Tl1 Tl 0.000 0.500 0.000
Cl1 Cl 0.000 0.500 0.500
Cl2 Cl 0.159 0.000 0.818
Cl3 Cl 0.166 0.000 0.298
```

***

Entry 5:
VASP calculation (PBE-GGA) on a relaxed La4Tl2Cl crystal.

uncorrected formation energy: -695 meV per atom
E above lowest polymorph: 0 meV per atom

Structure (CIF):
```
data_La4Tl2Cl
_chemical_formula_sum 'La8 Tl4 Cl2'
_cell_length_a 12.696
_cell_length_b 4.584
_cell_length_c 9.270
_cell_angle_alpha 90.00
_cell_angle_beta 123.28
_cell_angle_gamma 90.00
_space_group_name_H-M_alt 'C 1 2/m 1'
_space_group_IT_number 12
loop_
_space_group_symop_operation_xyz
'x,y,z'
'-x,-y,-z'
'-x,y,-z'
'x,-y,z'
'x+1/2,y+1/2,z'
'-x+1/2,-y+1/2,-z'
'-x+1/2,y+1/2,-z'
'x+1/2,-y+1/2,z'
loop_
_atom_site_label
_atom_site_type_symbol
_atom_site_fract_x
_atom_site_fract_y
_atom_site_fract_z
La1 La 0.080 0.000 0.364
La2 La 0.170 0.500 0.076
Tl1 Tl 0.134 0.500 0.668
Cl1 Cl 0.000 0.000 0.000
```

***

Entry 6:
VASP calculation (PBE-GGA) on a relaxed La4Tl2Cl crystal.

uncorrected formation energy: -550 meV per atom
E above lowest polymorph: 145 meV per atom

Structure (CIF):
```
data_La4Tl2Cl
_chemical_formula_sum 'La8 Tl4 Cl2'
_cell_length_a 5.409
_cell_length_b 5.409
_cell_length_c 16.546
_cell_angle_alpha 90.00
_cell_angle_beta 90.00
_cell_angle_gamma 90.00
_space_group_name_H-M_alt 'I 4/m m m'
_space_group_IT_number 139
_space_group_name_Hall '-I 4 2'
loop_
_atom_site_label
_atom_site_type_symbol
_atom_site_fract_x
_atom_site_fract_y
_atom_site_fract_z
La1 La 0.000 0.000 0.176
La2 La 0.000 0.500 0.000
Tl1 Tl 0.000 0.000 0.372
Cl1 Cl 0.000 0.000 0.000
```